1.
! Mg2B2Pd (GGA-PBE, relaxed); values from VASP
! energy of formation from the pure elements: -148.9 meV per atom
! total magnetic moment: 0.00 μB per cell
&SYSTEM
  ibrav = 0, nat = 10, ntyp = 3
/
ATOMIC_SPECIES
Mg 24.30 Mg.upf
B 10.81 B.upf
Pd 106.42 Pd.upf
CELL_PARAMETERS angstrom
-3.555 -4.133 -1.972
-0.363 -2.234 5.337
-2.880 2.143 0.701
ATOMIC_POSITIONS crystal
Mg 0.683 0.817 0.500
Mg 0.183 0.683 0.500
Mg 0.817 0.317 0.500
Mg 0.317 0.183 0.500
B 0.900 0.600 0.000
B 0.100 0.400 0.000
B 0.600 0.100 0.000
B 0.400 0.900 0.000
Pd 0.500 0.500 0.000
Pd 0.000 0.000 0.000

2.
! Ac2GeBi (GGA-PBE, relaxed); values from VASP
! energy of formation from the pure elements: -758.7 meV per atom
! distance to the lowest polymorph of the same formula: 12 meV per atom
! total magnetic moment: 0.00 μB per cell
&SYSTEM
  ibrav = 0, nat = 4, ntyp = 3
/
ATOMIC_SPECIES
Ac 227.00 Ac.upf
Ge 72.64 Ge.upf
Bi 208.98 Bi.upf
CELL_PARAMETERS angstrom
4.694 -0.005 0.006
2.336 7.917 -1.184
2.358 1.260 3.858
ATOMIC_POSITIONS crystal
Ac 0.994 0.019 0.994
Ac 0.506 0.481 0.506
Ge 0.250 0.250 0.250
Bi 0.750 0.750 0.750

3.
! Ca3NbHg (GGA-PBE, relaxed); values from VASP
! energy of formation from the pure elements: 763.0 meV per atom
! distance to the lowest polymorph of the same formula: 95 meV per atom
! total magnetic moment: 0.01 μB per cell
&SYSTEM
  ibrav = 0, nat = 5, ntyp = 3
/
ATOMIC_SPECIES
Ca 40.08 Ca.upf
Hg 200.59 Hg.upf
Nb 92.91 Nb.upf
CELL_PARAMETERS angstrom
5.576 0.000 0.000
0.000 5.576 0.000
0.000 0.000 5.576
ATOMIC_POSITIONS crystal
Ca 0.500 0.000 0.000
Ca 0.000 0.500 0.000
Ca 0.000 0.000 0.500
Hg 0.500 0.500 0.500
Nb 0.000 0.000 0.000

4.
! Tb7Tm3Mg (GGA-PBE, relaxed); values from VASP
! energy of formation from the pure elements: 195.3 meV per atom
! distance to the lowest polymorph of the same formula: 79 meV per atom
! total magnetic moment: 0.00 μB per cell
&SYSTEM
  ibrav = 0, nat = 11, ntyp = 3
/
ATOMIC_SPECIES
Tb 158.93 Tb.upf
Tm 168.93 Tm.upf
Mg 24.30 Mg.upf
CELL_PARAMETERS angstrom
8.506 0.000 0.000
0.000 6.966 0.000
0.000 -3.483 6.032
ATOMIC_POSITIONS crystal
Tb 0.449 0.830 0.170
Tb 0.449 0.830 0.661
Tb 0.116 0.667 0.333
Tb 0.117 0.666 0.833
Tb 0.117 0.167 0.833
Tb 0.449 0.339 0.170
Tb 0.117 0.167 0.334
Tm 0.785 0.501 0.499
Tm 0.785 0.997 0.499
Tm 0.785 0.501 0.003
Mg 0.449 0.333 0.667